Material: Cs2PuCrO6
Method: DFT, GGA+U
State: optimized geometry

Cell: 6.673 6.673 5.270 Å, 90.00 90.00 120.00°
Fractional positions:
Cs1 0.333 0.667 0.184
Cs2 0.667 0.333 0.816
Pu1 0.000 0.000 0.500
Cr1 0.000 0.000 0.000
O1 0.132 0.264 0.773
O2 0.132 0.868 0.773
O3 0.264 0.132 0.227
O4 0.736 0.868 0.773
O5 0.868 0.132 0.227
O6 0.868 0.736 0.227

Computed properties:
The calculation puts the total DFT energy (no corrections) at -0.264 hartree per atom. The space group is P-3m1, No. 164. As for the magnetization: 2.000 μB/cell.